First-principles (PBE) data for an optimized crystal structure of Ac2Al7In, as listed in the Alexandria database.

Cell lengths 4.522, 4.522, 11.358 Å; angles 90.00, 90.00, 90.00 degrees
Space group P-4m2 (No. 115)
Asymmetric unit:
Ac: 0.000 0.500 0.243 (multiplicity 2)
Al: 0.000 0.000 0.000 (multiplicity 1)
Al: 0.000 0.500 0.641 (multiplicity 2)
Al: 0.000 0.500 0.872 (multiplicity 2)
Al: 0.500 0.500 0.000 (multiplicity 1)
Al: 0.500 0.500 0.500 (multiplicity 1)
In: 0.000 0.000 0.500 (multiplicity 1)

Energy relative to the elements = -28.7 kJ/mol of atoms

First-principles (PBE) data for an optimized crystal structure of Sc2SbBr, as listed in the Alexandria database.

Cell lengths 3.713, 3.792, 7.270 Å; angles 90.00, 90.00, 90.00 degrees
Space group Pmmm (No. 47)
Asymmetric unit:
Sc: 0.000 0.000 0.207 (multiplicity 2)
Sb: 0.500 0.500 0.000 (multiplicity 1)
Br: 0.500 0.000 0.500 (multiplicity 1)

E_form (uncorrected) = -3.33 eV per formula unit
Energy above the most stable polymorph in this dataset = 10 meV/atom

First-principles (PBE) data for an optimized crystal structure of TcPbAu2, as listed in the Alexandria database.

Cell lengths 4.146, 4.146, 4.402 Å; angles 90.00, 90.00, 90.00 degrees
Space group P4/mmm (No. 123)
Asymmetric unit:
Tc: 0.000 0.000 0.000 (multiplicity 1)
Pb: 0.500 0.500 0.000 (multiplicity 1)
Au: 0.000 0.500 0.500 (multiplicity 2)

Energy relative to the elements = 39.2 kJ/mol of atoms

First-principles (PBE) data for an optimized crystal structure of ZrHgPb2, as listed in the Alexandria database.

Cell lengths 11.181, 3.322, 5.633 Å; angles 90.00, 97.89, 90.00 degrees
Space group C2/m (No. 12)
Asymmetric unit:
Zr: 0.000 0.000 0.000 (multiplicity 2)
Hg: 0.000 0.500 0.500 (multiplicity 2)
Pb: 0.242 0.500 0.238 (multiplicity 4)

Energy relative to the elements = 4.8 kJ/mol of atoms

First-principles (PBE) data for an optimized crystal structure of Ti8NiC4, as listed in the Alexandria database.

Cell lengths 14.780, 3.109, 10.448 Å; angles 90.00, 134.96, 90.00 degrees
Space group C2/m (No. 12)
Asymmetric unit:
Ti: 0.044 0.000 0.205 (multiplicity 4)
Ti: 0.144 0.500 0.825 (multiplicity 4)
Ti: 0.160 0.500 0.116 (multiplicity 4)
Ti: 0.181 0.500 0.538 (multiplicity 4)
Ni: 0.000 0.000 0.500 (multiplicity 2)
C: 0.154 0.000 0.975 (multiplicity 4)
C: 0.179 0.500 0.333 (multiplicity 4)

Energy relative to the elements = -54.1 kJ/mol of atoms

First-principles (PBE) data for an optimized crystal structure of PaCrCoTc, as listed in the Alexandria database.

Cell lengths 6.380, 6.380, 6.380 Å; angles 90.00, 90.00, 90.00 degrees
Space group F-43m (No. 216)
Asymmetric unit:
Pa: 0.000 0.000 0.000 (multiplicity 4)
Cr: 0.000 0.000 0.500 (multiplicity 4)
Co: 0.250 0.250 0.750 (multiplicity 4)
Tc: 0.250 0.250 0.250 (multiplicity 4)

Energy relative to the elements = 6.7 kJ/mol of atoms

First-principles (PBE) data for an optimized crystal structure of Nd3HoGa2, as listed in the Alexandria database.

Cell lengths 5.137, 9.692, 6.657 Å; angles 90.00, 90.00, 90.00 degrees
Space group Pmc2_1 (No. 26)
Asymmetric unit:
Nd: 0.000 0.049 0.000 (multiplicity 2)
Nd: 0.000 0.335 0.336 (multiplicity 2)
Nd: 0.500 0.177 0.704 (multiplicity 2)
Ho: 0.500 0.446 0.037 (multiplicity 2)
Ga: 0.000 0.352 0.817 (multiplicity 2)
Ga: 0.500 0.150 0.228 (multiplicity 2)

Energy above the most stable polymorph in this dataset = 0 meV/atom
Energy relative to the elements = -38.2 kJ/mol of atoms

First-principles (PBE) data for an optimized crystal structure of Ta2TiMn3, as listed in the Alexandria database.

Cell lengths 3.040, 3.040, 9.092 Å; angles 90.00, 90.00, 90.00 degrees
Space group P4/mmm (No. 123)
Asymmetric unit:
Ta: 0.000 0.000 0.170 (multiplicity 2)
Ti: 0.000 0.000 0.500 (multiplicity 1)
Mn: 0.500 0.500 0.000 (multiplicity 1)
Mn: 0.500 0.500 0.335 (multiplicity 2)

Energy relative to the elements = -25.1 kJ/mol of atoms

Q: Which energy values were calculated for the entries above? A: -4.0130, -5.4472, -4.7511, -4.0167, -8.7022, -9.0778, -4.5519, -10.1119, in eV per atom.
Q: Which density values were calculated for the entries above? A: 5.4, 4.7, 15.3, 11.3, 4.8, 11.3, 7.4, 11.4, in g cm⁻³.